No. 1
Pr2HoCd8: optimized geometry, PBE-GGA.

Output
- ΔE_f: -243.5 meV per atom
- E: -24.14 eV for the cell shown
- V: 281 Å³/cell

abc: 5.3554 6.5253 9.0830
angles: 111.10 107.21 89.83
Atoms (fractional coordinates):
Cd 0.3036 0.8036 0.6072
Cd 0.6964 0.1964 0.3928
Pr 0.3087 0.3087 0.6174
Cd 0.1243 0.3488 0.2467
Cd 0.8775 0.1020 0.7533
Cd 0.8757 0.6512 0.7533
Pr 0.6913 0.6913 0.3826
Cd 0.7475 0.4994 0.0000
Ho 0.5000 0.0000 0.0000
Cd 0.2525 0.5006 0.0000
Cd 0.1225 0.8980 0.2467


No. 2
PrHo2Cd8: optimized geometry, PBE-GGA.

Output
- ΔE_f: -261.7 meV per atom
- E: -24.13 eV for the cell shown
- V: 271 Å³/cell

abc: 5.3433 6.3573 8.9753
angles: 110.41 106.93 91.05
Atoms (fractional coordinates):
Cd 0.1371 0.8986 0.2622
Cd 0.1252 0.3636 0.2622
Cd 0.8629 0.1014 0.7378
Cd 0.7484 0.5063 0.0000
Cd 0.2970 0.7970 0.5939
Cd 0.2516 0.4937 0.0000
Cd 0.8748 0.6364 0.7378
Ho 0.6895 0.6895 0.3791
Ho 0.3105 0.3105 0.6209
Pr 0.5000 0.0000 0.0000
Cd 0.7030 0.2030 0.4061


No. 3
PrHo2Cd4: optimized geometry, PBE-GGA.

Output
- ΔE_f: -141.2 meV per atom
- E: -18.58 eV for the cell shown
- V: 203 Å³/cell

abc: 5.3362 5.3362 8.0763
angles: 109.29 109.29 90.00
Atoms (fractional coordinates):
Cd 0.8774 0.3774 0.7547
Cd 0.3774 0.8774 0.7547
Ho 0.7431 0.7431 0.4863
Cd 0.1226 0.6226 0.2453
Pr 0.0000 0.0000 0.0000
Ho 0.2569 0.2569 0.5137
Cd 0.6226 0.1226 0.2453


No. 4
PrHo3Cd2: optimized geometry, PBE-GGA.

Output
- ΔE_f: -142.3 meV per atom
- Distance to the lowest polymorph of the same formula: 0.0608 eV per atom
- E: -42.39 eV for the cell shown
- V: 348 Å³/cell

abc: 5.4632 9.3815 8.9463
angles: 125.61 90.00 106.93
Atoms (fractional coordinates):
Cd 0.5192 0.0383 0.8685
Pr 0.8644 0.7288 0.9125
Pr 0.1356 0.2712 0.0875
Cd 0.2312 0.4623 0.8588
Ho 0.3075 0.6150 0.6089
Ho 0.6925 0.3850 0.3911
Ho 0.9385 0.8771 0.5987
Cd 0.4808 0.9617 0.1315
Ho 0.6171 0.2342 0.6922
Ho 0.3829 0.7658 0.3078
Cd 0.7688 0.5377 0.1412
Ho 0.0615 0.1229 0.4013


No. 5
Pr3HoCd: optimized geometry, PBE-GGA.

Output
- ΔE_f: -102.3 meV per atom
- Distance to the lowest polymorph of the same formula: 0.0000 eV per atom
- E: -40.69 eV for the cell shown
- V: 322 Å³/cell

abc: 3.7716 8.8628 10.0950
angles: 76.65 100.77 90.00
Atoms (fractional coordinates):
Pr 0.5983 0.9665 0.1965
Pr 0.4017 0.0335 0.8035
Ho 0.7941 0.8340 0.5882
Ho 0.2059 0.1660 0.4118
Pr 0.0052 0.7127 0.0104
Pr 0.9948 0.2873 0.9896
Pr 0.1874 0.6241 0.3748
Cd 0.6064 0.4139 0.2129
Pr 0.8126 0.3759 0.6252
Cd 0.3936 0.5861 0.7871


No. 6
Pr5HoCd4: optimized geometry, PBE-GGA.

Output
- ΔE_f: -239.2 meV per atom
- E: -34.53 eV for the cell shown
- V: 303 Å³/cell

abc: 3.8302 3.8302 20.6297
angles: 90.00 90.00 90.00
Atoms (fractional coordinates):
Pr 0.5000 0.5000 0.3085
Cd 0.0000 0.0000 0.4041
Pr 0.5000 0.5000 0.6915
Cd 0.0000 0.0000 0.7894
Cd 0.0000 0.0000 0.2106
Cd 0.0000 0.0000 0.5959
Pr 0.5000 0.5000 0.1160
Ho 0.0000 0.0000 0.0000
Pr 0.5000 0.5000 0.5000
Pr 0.5000 0.5000 0.8840


- Look up the V of the sixth one.
  303 Å³/cell